[1]
A relaxed structure of ErTmSc. Source: Alexandria via LeMat-Bulk, functional PBE.

Output
* E_form: 0.172 eV/atom
* distance to the lowest polymorph of the same formula: 127 meV per atom
* DOS(E_F): 1.7420 states/eV per atom

Structure (CIF):
```
data_ErTmSc
_chemical_formula_sum 'Er2 Tm2 Sc2'
_cell_length_a 3.3641
_cell_length_b 3.3426
_cell_length_c 15.4809
_cell_angle_alpha 90.00
_cell_angle_beta 90.00
_cell_angle_gamma 90.00
_symmetry_space_group_name_H-M 'P 1'
_symmetry_Int_Tables_number 1
loop_
_symmetry_equiv_pos_as_xyz
'x,y,z'
loop_
_atom_site_label
_atom_site_fract_x
_atom_site_fract_y
_atom_site_fract_z
_atom_site_occupancy
Er1 0.2500 0.2500 0.0798 1
Er2 0.7500 0.7500 0.9202 1
Tm1 0.2500 0.7500 0.7262 1
Tm2 0.7500 0.2500 0.2738 1
Sc1 0.2500 0.7500 0.4263 1
Sc2 0.7500 0.2500 0.5737 1
```


[2]
A relaxed structure of AlSNO2. Source: Alexandria via LeMat-Bulk, functional PBE.

Output
* E_form (uncorrected): 23.2 meV per atom
* DOS(E_F): 0.6541 states/eV per atom

Structure (CIF):
```
data_AlSNO2
_chemical_formula_sum 'Al1 S1 N1 O2'
_cell_length_a 3.6069
_cell_length_b 3.6069
_cell_length_c 4.0077
_cell_angle_alpha 90.00
_cell_angle_beta 90.00
_cell_angle_gamma 90.00
_symmetry_space_group_name_H-M 'P 1'
_symmetry_Int_Tables_number 1
loop_
_symmetry_equiv_pos_as_xyz
'x,y,z'
loop_
_atom_site_label
_atom_site_fract_x
_atom_site_fract_y
_atom_site_fract_z
_atom_site_occupancy
S1 0.5000 0.5000 0.5000 1
Al1 0.0000 0.0000 0.0000 1
O1 0.0000 0.5000 0.0000 1
O2 0.5000 0.0000 0.0000 1
N1 0.0000 0.0000 0.5000 1
```


[3]
A relaxed structure of SrAc3Pt2. Source: Alexandria via LeMat-Bulk, functional PBE.

Output
* E_form: -0.784 eV/atom
* DOS(E_F): 0.9029 states/eV per atom

Structure (CIF):
```
data_SrAc3Pt2
_chemical_formula_sum 'Sr2 Ac6 Pt4'
_cell_length_a 8.6494
_cell_length_b 8.6689
_cell_length_c 8.6689
_cell_angle_alpha 60.22
_cell_angle_beta 60.07
_cell_angle_gamma 60.07
_symmetry_space_group_name_H-M 'P 1'
_symmetry_Int_Tables_number 1
loop_
_symmetry_equiv_pos_as_xyz
'x,y,z'
loop_
_atom_site_label
_atom_site_fract_x
_atom_site_fract_y
_atom_site_fract_z
_atom_site_occupancy
Sr1 0.2500 0.5012 0.4988 1
Sr2 0.7500 0.4988 0.5012 1
Ac1 0.2500 0.0013 0.9987 1
Ac2 0.7500 0.9987 0.0013 1
Ac3 0.2502 0.9999 0.4999 1
Ac4 0.7498 0.0001 0.5001 1
Ac5 0.2498 0.5001 0.0001 1
Ac6 0.7502 0.4999 0.9999 1
Pt1 0.0040 0.2460 0.2460 1
Pt2 0.4960 0.7540 0.7540 1
Pt3 0.9960 0.7540 0.7540 1
Pt4 0.5040 0.2460 0.2460 1
```


[4]
A relaxed structure of In2Bi2Pb. Source: Alexandria via LeMat-Bulk, functional PBE.

Output
* E_form: 0.076 eV/atom
* distance to the lowest polymorph of the same formula: 50 meV per atom
* DOS(E_F): 0.3873 states/eV per atom

Structure (CIF):
```
data_In2Bi2Pb
_chemical_formula_sum 'In4 Bi4 Pb2'
_cell_length_a 5.5202
_cell_length_b 9.0560
_cell_length_c 8.4281
_cell_angle_alpha 122.51
_cell_angle_beta 109.14
_cell_angle_gamma 89.96
_symmetry_space_group_name_H-M 'P 1'
_symmetry_Int_Tables_number 1
loop_
_symmetry_equiv_pos_as_xyz
'x,y,z'
loop_
_atom_site_label
_atom_site_fract_x
_atom_site_fract_y
_atom_site_fract_z
_atom_site_occupancy
In1 0.6463 0.3963 0.7926 1
In2 0.9873 0.7373 0.4746 1
In3 0.0127 0.2627 0.5254 1
In4 0.3537 0.6037 0.2074 1
Bi1 0.8278 0.3135 0.1556 1
Bi2 0.8278 0.8421 0.1556 1
Bi3 0.1722 0.1579 0.8444 1
Bi4 0.1722 0.6865 0.8444 1
Pb1 0.3751 0.1251 0.2502 1
Pb2 0.6249 0.8749 0.7498 1
```


[5]
A relaxed structure of TbSmAlCo. Source: Alexandria via LeMat-Bulk, functional PBE.

Output
* E_form: -0.151 eV/atom
* DOS(E_F): 0.7109 states/eV per atom

Structure (CIF):
```
data_TbSmAlCo
_chemical_formula_sum 'Tb1 Sm1 Al1 Co1'
_cell_length_a 5.0283
_cell_length_b 5.0283
_cell_length_c 5.0283
_cell_angle_alpha 60.00
_cell_angle_beta 60.00
_cell_angle_gamma 60.00
_symmetry_space_group_name_H-M 'P 1'
_symmetry_Int_Tables_number 1
loop_
_symmetry_equiv_pos_as_xyz
'x,y,z'
loop_
_atom_site_label
_atom_site_fract_x
_atom_site_fract_y
_atom_site_fract_z
_atom_site_occupancy
Co1 0.2500 0.2500 0.2500 1
Tb1 0.5000 0.5000 0.5000 1
Al1 0.7500 0.7500 0.7500 1
Sm1 0.0000 0.0000 0.0000 1
```


[6]
A relaxed structure of TaZnNiAu. Source: Alexandria via LeMat-Bulk, functional PBE.

Output
* E_form: -0.048 eV/atom
* DOS(E_F): 0.3420 states/eV per atom

Structure (CIF):
```
data_TaZnNiAu
_chemical_formula_sum 'Ta1 Zn1 Ni1 Au1'
_cell_length_a 4.3817
_cell_length_b 4.3817
_cell_length_c 4.3817
_cell_angle_alpha 60.00
_cell_angle_beta 60.00
_cell_angle_gamma 60.00
_symmetry_space_group_name_H-M 'P 1'
_symmetry_Int_Tables_number 1
loop_
_symmetry_equiv_pos_as_xyz
'x,y,z'
loop_
_atom_site_label
_atom_site_fract_x
_atom_site_fract_y
_atom_site_fract_z
_atom_site_occupancy
Ni1 0.2500 0.2500 0.2500 1
Zn1 0.7500 0.7500 0.7500 1
Au1 0.0000 0.0000 0.0000 1
Ta1 0.5000 0.5000 0.5000 1
```


[7]
A relaxed structure of ThAl2Pb. Source: Alexandria via LeMat-Bulk, functional PBE.

Output
* E_form: -0.204 eV/atom
* DOS(E_F): 0.7663 states/eV per atom

Structure (CIF):
```
data_ThAl2Pb
_chemical_formula_sum 'Th1 Al2 Pb1'
_cell_length_a 4.5025
_cell_length_b 4.6440
_cell_length_c 4.6440
_cell_angle_alpha 90.00
_cell_angle_beta 90.00
_cell_angle_gamma 90.00
_symmetry_space_group_name_H-M 'P 1'
_symmetry_Int_Tables_number 1
loop_
_symmetry_equiv_pos_as_xyz
'x,y,z'
loop_
_atom_site_label
_atom_site_fract_x
_atom_site_fract_y
_atom_site_fract_z
_atom_site_occupancy
Pb1 0.5000 0.0000 0.0000 1
Al1 0.0000 0.0000 0.5000 1
Al2 0.0000 0.5000 0.0000 1
Th1 0.5000 0.5000 0.5000 1
```


[8]
A relaxed structure of La6AsS2Br3. Source: Alexandria via LeMat-Bulk, functional PBE.

Output
* E_form (uncorrected): -1681.2 meV per atom
* DOS(E_F): 0.6940 states/eV per atom

Structure (CIF):
```
data_La6AsS2Br3
_chemical_formula_sum 'La6 As1 S2 Br3'
_cell_length_a 7.3144
_cell_length_b 7.3144
_cell_length_c 7.7101
_cell_angle_alpha 99.10
_cell_angle_beta 99.10
_cell_angle_gamma 120.02
_symmetry_space_group_name_H-M 'P 1'
_symmetry_Int_Tables_number 1
loop_
_symmetry_equiv_pos_as_xyz
'x,y,z'
loop_
_atom_site_label
_atom_site_fract_x
_atom_site_fract_y
_atom_site_fract_z
_atom_site_occupancy
La1 0.9279 0.5849 0.7851 1
La2 0.7260 0.7260 0.2108 1
La3 0.0721 0.4151 0.2149 1
La4 0.5849 0.9279 0.7851 1
La5 0.2740 0.2740 0.7892 1
La6 0.4151 0.0721 0.2149 1
As1 0.0000 0.0000 0.0000 1
S1 0.3322 0.6678 0.0000 1
S2 0.6678 0.3322 0.0000 1
Br1 0.1601 0.8399 0.5000 1
Br2 0.8399 0.1601 0.5000 1
Br3 0.5000 0.5000 0.5000 1
```


[9]
A relaxed structure of La7GaBi2N2. Source: Alexandria via LeMat-Bulk, functional PBE.

Output
* E_form (uncorrected): -953.6 meV per atom
* DOS(E_F): 0.6031 states/eV per atom

Structure (CIF):
```
data_La7GaBi2N2
_chemical_formula_sum 'La7 Ga1 Bi2 N2'
_cell_length_a 5.0482
_cell_length_b 5.0481
_cell_length_c 13.9340
_cell_angle_alpha 79.53
_cell_angle_beta 79.53
_cell_angle_gamma 89.97
_symmetry_space_group_name_H-M 'P 1'
_symmetry_Int_Tables_number 1
loop_
_symmetry_equiv_pos_as_xyz
'x,y,z'
loop_
_atom_site_label
_atom_site_fract_x
_atom_site_fract_y
_atom_site_fract_z
_atom_site_occupancy
La1 0.5000 0.5000 0.0000 1
La2 0.3092 0.3092 0.3800 1
La3 0.6908 0.6908 0.6200 1
La4 0.9111 0.4111 0.1773 1
La5 0.4111 0.9111 0.1773 1
La6 0.5889 0.0889 0.8227 1
La7 0.0889 0.5889 0.8227 1
Ga1 0.0000 0.0000 0.0000 1
Bi1 0.8173 0.8173 0.3642 1
Bi2 0.1827 0.1827 0.6358 1
N1 0.5992 0.5992 0.8019 1
N2 0.4008 0.4008 0.1981 1
```


[10]
A relaxed structure of Cs2SiPb2. Source: Alexandria via LeMat-Bulk, functional PBE.

Output
* E_form (uncorrected): 568.9 meV per atom
* distance to the lowest polymorph of the same formula: 454 meV per atom
* DOS(E_F): 0.9237 states/eV per atom

Structure (CIF):
```
data_Cs2SiPb2
_chemical_formula_sum 'Cs4 Si2 Pb4'
_cell_length_a 11.5648
_cell_length_b 11.5648
_cell_length_c 3.4359
_cell_angle_alpha 90.00
_cell_angle_beta 90.00
_cell_angle_gamma 90.00
_symmetry_space_group_name_H-M 'P 1'
_symmetry_Int_Tables_number 1
loop_
_symmetry_equiv_pos_as_xyz
'x,y,z'
loop_
_atom_site_label
_atom_site_fract_x
_atom_site_fract_y
_atom_site_fract_z
_atom_site_occupancy
Pb1 0.0902 0.5902 0.5000 1
Pb2 0.5902 0.9098 0.5000 1
Pb3 0.9098 0.4098 0.5000 1
Pb4 0.4098 0.0902 0.5000 1
Cs1 0.2928 0.7928 0.0000 1
Cs2 0.7928 0.7072 0.0000 1
Cs3 0.7072 0.2072 0.0000 1
Cs4 0.2072 0.2928 0.0000 1
Si1 0.0000 0.0000 0.0000 1
Si2 0.5000 0.5000 0.0000 1
```


[11]
A relaxed structure of ZnRe2W. Source: Alexandria via LeMat-Bulk, functional PBE.

Output
* E_form: 0.379 eV/atom
* DOS(E_F): 0.8351 states/eV per atom

Structure (CIF):
```
data_ZnRe2W
_chemical_formula_sum 'Zn1 Re2 W1'
_cell_length_a 3.1175
_cell_length_b 4.4195
_cell_length_c 4.3682
_cell_angle_alpha 90.00
_cell_angle_beta 90.00
_cell_angle_gamma 90.00
_symmetry_space_group_name_H-M 'P 1'
_symmetry_Int_Tables_number 1
loop_
_symmetry_equiv_pos_as_xyz
'x,y,z'
loop_
_atom_site_label
_atom_site_fract_x
_atom_site_fract_y
_atom_site_fract_z
_atom_site_occupancy
Re1 0.0000 0.0000 0.0000 1
Re2 0.5000 0.5000 0.0000 1
W1 0.5000 0.0000 0.5000 1
Zn1 0.0000 0.5000 0.5000 1
```


[12]
A relaxed structure of V2ReP4. Source: Alexandria via LeMat-Bulk, functional PBE.

Output
* E_form: -0.475 eV/atom
* DOS(E_F): 0.5745 states/eV per atom

Structure (CIF):
```
data_V2ReP4
_chemical_formula_sum 'V2 Re1 P4'
_cell_length_a 3.0952
_cell_length_b 5.6624
_cell_length_c 6.7652
_cell_angle_alpha 113.27
_cell_angle_beta 103.22
_cell_angle_gamma 90.00
_symmetry_space_group_name_H-M 'P 1'
_symmetry_Int_Tables_number 1
loop_
_symmetry_equiv_pos_as_xyz
'x,y,z'
loop_
_atom_site_label
_atom_site_fract_x
_atom_site_fract_y
_atom_site_fract_z
_atom_site_occupancy
V1 0.7479 0.7495 0.4958 1
V2 0.2521 0.2505 0.5042 1
Re1 0.0000 0.0000 0.0000 1
P1 0.8753 0.2060 0.7506 1
P2 0.1247 0.7940 0.2494 1
P3 0.6211 0.3134 0.2421 1
P4 0.3789 0.6866 0.7579 1
```